Record 1
Entry from Alexandria: a relaxed structure of Ti5HPb2 (GGA-PBE).

Summary:
DOS at the Fermi energy   1.021 states/eV/atom
Total energy   -6.374 eV/atom
Spin magnetization   0.00 μB per cell
SG   Pnma (62)

Cell lengths 5.9064, 7.3461, 12.5926 Å; angles 90.00, 90.00, 90.00 degrees
Atoms (fractional coordinates):
Ti (0.9849, 0.1680, 0.6222)
Ti (0.2500, 0.5147, 0.2908)
Ti (0.7500, 0.6649, 0.0804)
Ti (0.7500, 0.1649, 0.4196)
Ti (0.2500, 0.3351, 0.9196)
Ti (0.0000, 0.0000, 0.0000)
Ti (0.0151, 0.8320, 0.3778)
Ti (0.2500, 0.8351, 0.5804)
Ti (0.5000, 0.5000, 0.5000)
Ti (0.9849, 0.6680, 0.8778)
Ti (0.5000, 0.0000, 0.0000)
Ti (0.0000, 0.5000, 0.5000)
Ti (0.0151, 0.3320, 0.1222)
Ti (0.5151, 0.6680, 0.8778)
Ti (0.7500, 0.4853, 0.7092)
Ti (0.5151, 0.1680, 0.6222)
Ti (0.4849, 0.3320, 0.1222)
Ti (0.7500, 0.9853, 0.7908)
Ti (0.2500, 0.0147, 0.2092)
Ti (0.4849, 0.8320, 0.3778)
Pb (0.2500, 0.6755, 0.0778)
Pb (0.7500, 0.5111, 0.2948)
Pb (0.7500, 0.0111, 0.2052)
Pb (0.2500, 0.1755, 0.4222)
Pb (0.7500, 0.3245, 0.9222)
Pb (0.2500, 0.9889, 0.7948)
Pb (0.2500, 0.4889, 0.7052)
Pb (0.7500, 0.8245, 0.5778)
H (0.7500, 0.3322, 0.5540)
H (0.2500, 0.6678, 0.4460)
H (0.2500, 0.1678, 0.0540)
H (0.7500, 0.8322, 0.9460)


Record 2
Entry from Alexandria: a relaxed structure of Ti2VS2 (GGA-PBE).

Summary:
DOS at the Fermi energy   0.684 states/eV/atom
Total energy   -7.606 eV/atom
Spin magnetization   0.00 μB per cell
ΔE_f (raw)   -0.9731 eV/atom
SG   Cmc2_1 (36)

Cell lengths 3.2930, 5.9451, 7.5560 Å; angles 90.00, 102.59, 90.00 degrees
Atoms (fractional coordinates):
S (0.1885, 0.3837, 0.3770)
S (0.8115, 0.8837, 0.6230)
S (0.4391, 0.4743, 0.8782)
S (0.5609, 0.9743, 0.1218)
Ti (0.8151, 0.4134, 0.6302)
Ti (0.0304, 0.2736, 0.0608)
Ti (0.1849, 0.9134, 0.3698)
Ti (0.9696, 0.7736, 0.9392)
V (0.6035, 0.5894, 0.2069)
V (0.3965, 0.0894, 0.7931)


Which formula does entry 2 have? Ti2VS2